Computed, not measured: CaYCo2 after structural relaxation at the GGA-PBE level of DFT.

Values from the calculation:
The value obtained for the energy of formation is 121 meV/atom. Its density of states at the Fermi level is 3.563 states/eV/f.u.

Geometry as CIF:
```
data_CaYCo2
_cell_length_a 9.735
_cell_length_b 3.933
_cell_length_c 6.567
_cell_angle_alpha 90.00
_cell_angle_beta 128.19
_cell_angle_gamma 90.00
_space_group_name_H-M_alt 'C 1 2/m 1'
_space_group_IT_number 12
_space_group_name_Hall '-C 2y'
loop_
_atom_site_label
_atom_site_fract_x
_atom_site_fract_y
_atom_site_fract_z
_atom_site_occupancy
Ca1 0.000 0.000 0.000 1
Y1 0.000 0.500 0.500 1
Co1 0.249 0.500 0.430 1
```